# Co2H2Pd

Crystalline Co2H2Pd at its relaxed geometry (PBE, Alexandria).

Results
Space-group type = I4/mmm
Distance to the lowest polymorph of the same formula = 0.000 eV per atom
N(E_F) = 0.57 states/eV per atom

POSCAR file:
```
Co2H2Pd
1.0
-1.607 1.607 4.059
1.607 -1.607 4.059
1.607 1.607 -4.059
Co H Pd
2 2 1
direct
0.171 0.171 0.000
0.829 0.829 0.000
0.250 0.750 0.500
0.750 0.250 0.500
0.500 0.500 0.000
```